Density functional theory data (PBE-GGA) for a geometry-optimized CeNdS3 structure.

POSCAR file:
```
CeNdS3
1.0
4.0286 0.0000 0.0000
0.0000 6.8612 0.0000
0.0000 0.0000 8.7846
S Ce Nd
6 2 2
Direct
0.0000 0.2269 0.3285 S
0.5000 0.7269 0.6715 S
0.0000 0.7731 0.3285 S
0.0000 0.0000 0.9330 S
0.5000 0.5000 0.0670 S
0.5000 0.2731 0.6715 S
0.5000 0.5000 0.3954 Ce
0.0000 0.0000 0.6046 Ce
0.0000 0.5000 0.8490 Nd
0.5000 0.0000 0.1510 Nd
```

Summary:
* E above lowest polymorph: 53 meV per atom
* DFT total energy: -6.601 eV/atom
* ΔE_f (raw): -1.98 eV/atom

---

Density functional theory data (PBE-GGA) for a geometry-optimized YRu3C structure.

POSCAR file:
```
YRu3C
1.0
14.0127 0.0000 -1.7939
6.2087 3.7702 -3.7500
-6.2087 3.7702 3.7500
Ru C Y
12 4 4
Direct
0.4962 0.9125 0.2558 Ru
0.0038 0.7558 0.4125 Ru
0.1838 0.8754 0.9119 Ru
0.8162 0.1246 0.0881 Ru
0.6021 0.3755 0.2088 Ru
0.9962 0.2442 0.5875 Ru
0.6838 0.5881 0.6246 Ru
0.1021 0.2912 0.1245 Ru
0.3979 0.6245 0.7912 Ru
0.5038 0.0875 0.7442 Ru
0.3162 0.4119 0.3754 Ru
0.8979 0.7088 0.8755 Ru
0.3406 0.9574 0.8511 C
0.6594 0.0426 0.1489 C
0.8406 0.6489 0.5426 C
0.1594 0.3511 0.4574 C
0.2500 0.8921 0.3921 Y
0.2500 0.3839 0.8839 Y
0.7500 0.6161 0.1161 Y
0.7500 0.1079 0.6079 Y
```

Summary:
* ΔE_f: 0.0132 eV/atom
* DFT total energy: -8.690 eV/atom

---

What did the second record say?
Density functional theory data (PBE-GGA) for a geometry-optimized YRu3C structure.

POSCAR file:
```
YRu3C
1.0
14.0127 0.0000 -1.7939
6.2087 3.7702 -3.7500
-6.2087 3.7702 3.7500
Ru C Y
12 4 4
Direct
0.4962 0.9125 0.2558 Ru
0.0038 0.7558 0.4125 Ru
0.1838 0.8754 0.9119 Ru
0.8162 0.1246 0.0881 Ru
0.6021 0.3755 0.2088 Ru
0.9962 0.2442 0.5875 Ru
0.6838 0.5881 0.6246 Ru
0.1021 0.2912 0.1245 Ru
0.3979 0.6245 0.7912 Ru
0.5038 0.0875 0.7442 Ru
0.3162 0.4119 0.3754 Ru
0.8979 0.7088 0.8755 Ru
0.3406 0.9574 0.8511 C
0.6594 0.0426 0.1489 C
0.8406 0.6489 0.5426 C
0.1594 0.3511 0.4574 C
0.2500 0.8921 0.3921 Y
0.2500 0.3839 0.8839 Y
0.7500 0.6161 0.1161 Y
0.7500 0.1079 0.6079 Y
```

Summary:
* ΔE_f: 0.0132 eV/atom
* DFT total energy: -8.690 eV/atom